{
  "formula": "Tb6Y5Pu",
  "functional": "PBE",
  "state": "optimized geometry",
  "cell": [[2.513, -7.526, 0.000], [2.513, 7.526, 0.000], [0.000, 0.000, 10.046]],
  "species": ["Tb", "Tb", "Tb", "Tb", "Tb", "Tb", "Y", "Y", "Y", "Y", "Y", "Pu"],
  "frac_coords": [[0.000, 0.000, 0.247], [0.000, 0.000, 0.753], [0.335, 0.665, 0.247], [0.335, 0.665, 0.753], [0.665, 0.335, 0.247], [0.665, 0.335, 0.753], [0.164, 0.836, 0.000], [0.167, 0.833, 0.500], [0.500, 0.500, 0.500], [0.833, 0.167, 0.500], [0.836, 0.164, 0.000], [0.500, 0.500, 0.000]],
  "e_form_ev_per_atom": 0.05,
  "space_group": "Cmmm"
}


{
  "formula": "SrHfGe2C",
  "functional": "PBE",
  "state": "optimized geometry",
  "cell": [[4.586, 0.000, 0.000], [0.000, 4.586, 0.000], [0.000, 0.000, 4.710]],
  "species": ["Sr", "Hf", "Ge", "Ge", "C"],
  "frac_coords": [[0.000, 0.000, 0.000], [0.500, 0.500, 0.000], [0.000, 0.500, 0.500], [0.500, 0.000, 0.500], [0.000, 0.000, 0.500]],
  "e_form_ev_per_atom": 0.90,
  "space_group": "P4/mmm"
}


{
  "formula": "LaBe2P",
  "functional": "PBE",
  "state": "optimized geometry",
  "cell": [[4.624, 0.000, 0.000], [0.000, 4.624, 0.000], [0.000, 0.000, 6.524]],
  "species": ["La", "La", "Be", "Be", "Be", "Be", "P", "P"],
  "frac_coords": [[0.000, 0.000, 0.000], [0.500, 0.500, 0.500], [0.000, 0.000, 0.500], [0.000, 0.500, 0.250], [0.500, 0.000, 0.750], [0.500, 0.500, 0.000], [0.000, 0.500, 0.750], [0.500, 0.000, 0.250]],
  "e_form_ev_per_atom": 0.24,
  "space_group": "I-4m2"
}


{
  "formula": "LiCaCu",
  "functional": "PBE",
  "state": "optimized geometry",
  "cell": [[3.537, 0.000, 0.000], [0.000, 3.537, 0.000], [0.000, 0.000, 10.141]],
  "species": ["Li", "Li", "Ca", "Ca", "Cu", "Cu"],
  "frac_coords": [[0.000, 0.000, 0.000], [0.500, 0.500, 0.500], [0.000, 0.000, 0.714], [0.500, 0.500, 0.214], [0.000, 0.000, 0.395], [0.500, 0.500, 0.895]],
  "e_form_ev_per_atom": 0.00,
  "relative_energy_mev_per_atom": 80,
  "space_group": "I4mm"
}


{
  "formula": "Tb2Pm5SmEr",
  "functional": "PBE",
  "state": "optimized geometry",
  "cell": [[2.827, -10.169, 0.000], [2.827, 10.169, 0.000], [0.000, 0.000, 10.708]],
  "species": ["Tb", "Tb", "Tb", "Tb", "Pm", "Pm", "Pm", "Pm", "Pm", "Pm", "Pm", "Pm", "Pm", "Pm", "Sm", "Sm", "Er", "Er"],
  "frac_coords": [[0.111, 0.889, 0.500], [0.116, 0.884, 0.079], [0.884, 0.116, 0.579], [0.889, 0.111, 0.000], [0.016, 0.984, 0.784], [0.281, 0.719, 0.072], [0.298, 0.702, 0.468], [0.390, 0.610, 0.787], [0.480, 0.520, 0.505], [0.520, 0.480, 0.005], [0.610, 0.390, 0.287], [0.702, 0.298, 0.968], [0.719, 0.281, 0.572], [0.984, 0.016, 0.284], [0.201, 0.799, 0.772], [0.799, 0.201, 0.272], [0.410, 0.590, 0.222], [0.590, 0.410, 0.722]],
  "e_form_ev_per_atom": 0.14,
  "space_group": "Cmc2_1"
}


{
  "formula": "CuHg2Ru",
  "functional": "PBE",
  "state": "optimized geometry",
  "cell": [[10.432, 0.000, 0.000], [0.000, 2.958, 0.000], [-1.735, 0.000, 4.545]],
  "species": ["Cu", "Cu", "Hg", "Hg", "Hg", "Hg", "Ru", "Ru"],
  "frac_coords": [[0.000, 0.000, 0.000], [0.500, 0.500, 0.000], [0.038, 0.500, 0.530], [0.261, 0.500, 0.143], [0.538, 0.000, 0.530], [0.761, 0.000, 0.143], [0.291, 0.000, 0.659], [0.791, 0.500, 0.659]],
  "e_form_ev_per_atom": 0.42,
  "relative_energy_mev_per_atom": 34,
  "space_group": "Cm"
}


{
  "formula": "Cs7K2Rb3",
  "functional": "PBE",
  "state": "optimized geometry",
  "cell": [[3.948, -21.827, 0.000], [3.948, 21.827, 0.000], [0.000, 0.000, 7.648]],
  "species": ["Cs", "Cs", "Cs", "Cs", "Cs", "Cs", "Cs", "K", "K", "Rb", "Rb", "Rb"],
  "frac_coords": [[0.000, 0.000, 0.000], [0.084, 0.916, 0.500], [0.210, 0.790, 0.500], [0.416, 0.584, 0.000], [0.584, 0.416, 0.000], [0.790, 0.210, 0.500], [0.916, 0.084, 0.500], [0.351, 0.649, 0.500], [0.649, 0.351, 0.500], [0.290, 0.710, 0.000], [0.500, 0.500, 0.500], [0.710, 0.290, 0.000]],
  "e_form_ev_per_atom": 0.04,
  "space_group": "Cmmm"
}


{
  "formula": "Sc5Rh2",
  "functional": "PBE",
  "state": "optimized geometry",
  "cell": [[-3.274, 6.914, 3.128], [3.274, -6.914, 3.128], [3.274, 6.914, -3.128]],
  "species": ["Sc", "Sc", "Sc", "Sc", "Sc", "Sc", "Sc", "Sc", "Sc", "Sc", "Rh", "Rh", "Rh", "Rh"],
  "frac_coords": [[0.022, 0.250, 0.772], [0.089, 0.642, 0.731], [0.250, 0.250, 0.000], [0.411, 0.142, 0.554], [0.478, 0.250, 0.228], [0.522, 0.750, 0.772], [0.589, 0.858, 0.446], [0.750, 0.750, 0.000], [0.911, 0.358, 0.269], [0.978, 0.750, 0.228], [0.126, 0.257, 0.384], [0.374, 0.757, 0.131], [0.626, 0.243, 0.869], [0.874, 0.743, 0.616]],
  "e_form_ev_per_atom": -0.58,
  "relative_energy_mev_per_atom": 25,
  "space_group": "Ibam"
}